Model one:
# Tb3InHg4 PBE relaxed
data_Tb3InHg4
_chemical_formula_sum 'Tb9 In3 Hg12'
_space_group_name_H-M_alt 'R -3 m'
_space_group_IT_number 166
_space_group_name_Hall '-R 3 2"'
_cell_length_a 5.1672
_cell_length_b 5.1672
_cell_length_c 26.3193
_cell_angle_alpha 90.00
_cell_angle_beta 90.00
_cell_angle_gamma 120.00
loop_
_atom_site_label
_atom_site_type_symbol
_atom_site_fract_x
_atom_site_fract_y
_atom_site_fract_z
Tb1 Tb 0.0000 0.0000 0.0000
Tb2 Tb 0.0000 0.0000 0.2424
In1 In 0.0000 0.0000 0.5000
Hg1 Hg 0.0000 0.0000 0.1207
Hg2 Hg 0.0000 0.0000 0.3683
# Volume: 609 Å³/cell
# Mass density: 11.41 Mg/m³

=====

Model two:
# Tb3InHg4 PBE relaxed
data_Tb3InHg4
_chemical_formula_sum 'Tb6 In2 Hg8'
_space_group_name_H-M_alt 'I m m m'
_space_group_IT_number 71
_space_group_name_Hall '-I 2 2'
_cell_length_a 3.6458
_cell_length_b 7.0010
_cell_length_c 17.1745
_cell_angle_alpha 90.00
_cell_angle_beta 90.00
_cell_angle_gamma 90.00
loop_
_atom_site_label
_atom_site_type_symbol
_atom_site_fract_x
_atom_site_fract_y
_atom_site_fract_z
Tb1 Tb 0.0000 0.0000 0.0000
Tb2 Tb 0.0000 0.5000 0.2188
In1 In 0.0000 0.0000 0.5000
Hg1 Hg 0.0000 0.2816 0.3732
# Volume: 438 Å³/cell
# Mass density: 10.56 Mg/m³

=====

Stability, descending: model one, model two

=====

Model one:
# TbInHg3 PBE relaxed
data_TbInHg3
_chemical_formula_sum 'Tb4 In4 Hg12'
_space_group_name_H-M_alt 'C 1 2/m 1'
_space_group_IT_number 12
_cell_length_a 28.3965
_cell_length_b 3.6867
_cell_length_c 5.1266
_cell_angle_alpha 90.00
_cell_angle_beta 93.53
_cell_angle_gamma 90.00
loop_
_space_group_symop_operation_xyz
'x,y,z'
'-x,-y,-z'
'-x,y,-z'
'x,-y,z'
'x+1/2,y+1/2,z'
'-x+1/2,-y+1/2,-z'
'-x+1/2,y+1/2,-z'
'x+1/2,-y+1/2,z'
loop_
_atom_site_label
_atom_site_type_symbol
_atom_site_fract_x
_atom_site_fract_y
_atom_site_fract_z
Tb1 Tb 0.1218 0.0000 0.3164
In1 In 0.0878 0.5000 0.7975
Hg1 Hg 0.0274 0.5000 0.2650
Hg2 Hg 0.1876 0.0000 0.8417
Hg3 Hg 0.2114 0.5000 0.3383
# Volume: 536 Å³/cell
# Mass density: 10.86 Mg/m³

=====

Model two:
# TbInHg3 PBE relaxed
data_TbInHg3
_chemical_formula_sum 'Tb4 In4 Hg12'
_space_group_name_H-M_alt 'C 1 2/m 1'
_space_group_IT_number 12
_cell_length_a 15.8631
_cell_length_b 6.5451
_cell_length_c 5.4326
_cell_angle_alpha 90.00
_cell_angle_beta 90.06
_cell_angle_gamma 90.00
loop_
_space_group_symop_operation_xyz
'x,y,z'
'-x,-y,-z'
'-x,y,-z'
'x,-y,z'
'x+1/2,y+1/2,z'
'-x+1/2,-y+1/2,-z'
'-x+1/2,y+1/2,-z'
'x+1/2,-y+1/2,z'
loop_
_atom_site_label
_atom_site_type_symbol
_atom_site_fract_x
_atom_site_fract_y
_atom_site_fract_z
Tb1 Tb 0.1901 0.0000 0.2508
In1 In 0.1560 0.5000 0.2501
Hg1 Hg 0.0000 0.0000 0.0000
Hg2 Hg 0.0000 0.0000 0.5000
Hg3 Hg 0.1477 0.2451 0.7506
# Volume: 564 Å³/cell
# Mass density: 10.31 Mg/m³

=====

Stability, descending: model one, model two

=====

Model one:
# TbTlInHg PBE relaxed
data_TbTlInHg
_chemical_formula_sum 'Tb1 Tl1 In1 Hg1'
_space_group_name_H-M_alt 'P m m m'
_space_group_IT_number 47
_cell_length_a 4.6314
_cell_length_b 4.6391
_cell_length_c 4.7122
_cell_angle_alpha 90.00
_cell_angle_beta 90.00
_cell_angle_gamma 90.00
loop_
_space_group_symop_operation_xyz
'x,y,z'
'-x,-y,-z'
'-x,-y,z'
'x,y,-z'
'x,-y,-z'
'-x,y,z'
'-x,y,-z'
'x,-y,z'
loop_
_atom_site_label
_atom_site_type_symbol
_atom_site_fract_x
_atom_site_fract_y
_atom_site_fract_z
Tb1 Tb 0.0000 0.0000 0.0000
Tl1 Tl 0.5000 0.5000 0.0000
In1 In 0.5000 0.0000 0.5000
Hg1 Hg 0.0000 0.5000 0.5000
# Volume: 101 Å³/cell
# Mass density: 11.13 Mg/m³

=====

Model two:
# TbTlInHg PBE relaxed
data_TbTlInHg
_chemical_formula_sum 'Tb4 Tl4 In4 Hg4'
_space_group_name_H-M_alt 'F -4 3 m'
_space_group_IT_number 216
_space_group_name_Hall 'F -4 2 3'
_cell_length_a 7.4785
_cell_length_b 7.4785
_cell_length_c 7.4785
_cell_angle_alpha 90.00
_cell_angle_beta 90.00
_cell_angle_gamma 90.00
loop_
_atom_site_label
_atom_site_type_symbol
_atom_site_fract_x
_atom_site_fract_y
_atom_site_fract_z
Tb1 Tb 0.0000 0.0000 0.0000
Tl1 Tl 0.2500 0.2500 0.7500
In1 In 0.0000 0.0000 0.5000
Hg1 Hg 0.2500 0.2500 0.2500
# Volume: 418 Å³/cell
# Mass density: 10.78 Mg/m³

=====

Stability, descending: model one, model two

=====

Model one:
# InTc2Hg PBE relaxed
data_InTc2Hg
_chemical_formula_sum 'In2 Tc4 Hg2'
_space_group_name_H-M_alt 'I m m m'
_space_group_IT_number 71
_space_group_name_Hall '-I 2 2'
_cell_length_a 3.1371
_cell_length_b 4.7705
_cell_length_c 9.4646
_cell_angle_alpha 90.00
_cell_angle_beta 90.00
_cell_angle_gamma 90.00
loop_
_atom_site_label
_atom_site_type_symbol
_atom_site_fract_x
_atom_site_fract_y
_atom_site_fract_z
In1 In 0.0000 0.0000 0.0000
Tc1 Tc 0.0000 0.5000 0.2532
Hg1 Hg 0.0000 0.0000 0.5000
# Volume: 142 Å³/cell
# Mass density: 11.99 Mg/m³

=====

Model two:
# InTc2Hg PBE relaxed
data_InTc2Hg
_chemical_formula_sum 'In1 Tc2 Hg1'
_space_group_name_H-M_alt 'P 4 m m'
_space_group_IT_number 99
_cell_length_a 2.9915
_cell_length_b 2.9915
_cell_length_c 8.3114
_cell_angle_alpha 90.00
_cell_angle_beta 90.00
_cell_angle_gamma 90.00
loop_
_space_group_symop_operation_xyz
'x,y,z'
'-y,x,z'
'-x,-y,z'
'y,-x,z'
'-x,y,z'
'y,x,z'
'x,-y,z'
'-y,-x,z'
loop_
_atom_site_label
_atom_site_type_symbol
_atom_site_fract_x
_atom_site_fract_y
_atom_site_fract_z
In1 In 0.0000 0.0000 0.0000
Tc1 Tc 0.0000 0.0000 0.4227
Tc2 Tc 0.5000 0.5000 0.2482
Hg1 Hg 0.5000 0.5000 0.6828
# Volume: 74 Å³/cell
# Mass density: 11.42 Mg/m³

=====

Model three:
# InTc2Hg PBE relaxed
data_InTc2Hg
_chemical_formula_sum 'In1 Tc2 Hg1'
_space_group_name_H-M_alt 'P 4/m m m'
_space_group_IT_number 123
_space_group_name_Hall '-P 4 2'
_cell_length_a 3.2609
_cell_length_b 3.2609
_cell_length_c 6.5618
_cell_angle_alpha 90.00
_cell_angle_beta 90.00
_cell_angle_gamma 90.00
loop_
_atom_site_label
_atom_site_type_symbol
_atom_site_fract_x
_atom_site_fract_y
_atom_site_fract_z
In1 In 0.0000 0.0000 0.0000
Tc1 Tc 0.5000 0.5000 0.2424
Hg1 Hg 0.0000 0.0000 0.5000
# Volume: 70 Å³/cell
# Mass density: 12.17 Mg/m³

=====

Model four:
# InTc2Hg PBE relaxed
data_InTc2Hg
_chemical_formula_sum 'In2 Tc4 Hg2'
_space_group_name_H-M_alt 'C 1 m 1'
_space_group_IT_number 8
_cell_length_a 9.9961
_cell_length_b 2.9950
_cell_length_c 4.9100
_cell_angle_alpha 90.00
_cell_angle_beta 104.38
_cell_angle_gamma 90.00
loop_
_space_group_symop_operation_xyz
'x,y,z'
'x,-y,z'
'x+1/2,y+1/2,z'
'x+1/2,-y+1/2,z'
loop_
_atom_site_label
_atom_site_type_symbol
_atom_site_fract_x
_atom_site_fract_y
_atom_site_fract_z
In1 In 0.0000 0.0000 0.0000
Tc1 Tc 0.0339 0.5000 0.5289
Tc2 Tc 0.2429 0.0000 0.7563
Hg1 Hg 0.2735 0.5000 0.2840
# Volume: 142 Å³/cell
# Mass density: 11.93 Mg/m³

=====

Stability, descending: model two, model four, model one, model three

=====

Model one:
# InTc2Hg PBE relaxed
data_InTc2Hg
_chemical_formula_sum 'In3 Tc6 Hg3'
_space_group_name_H-M_alt 'R -3 m'
_space_group_IT_number 166
_space_group_name_Hall '-R 3 2"'
_cell_length_a 2.9677
_cell_length_b 2.9677
_cell_length_c 27.7202
_cell_angle_alpha 90.00
_cell_angle_beta 90.00
_cell_angle_gamma 120.00
loop_
_atom_site_label
_atom_site_type_symbol
_atom_site_fract_x
_atom_site_fract_y
_atom_site_fract_z
In1 In 0.0000 0.0000 0.0000
Tc1 Tc 0.0000 0.0000 0.2510
Hg1 Hg 0.0000 0.0000 0.5000
# Volume: 211 Å³/cell
# Mass density: 12.05 Mg/m³

=====

Model two:
# InTc2Hg PBE relaxed
data_InTc2Hg
_chemical_formula_sum 'In1 Tc2 Hg1'
_space_group_name_H-M_alt 'P 1 m 1'
_space_group_IT_number 6
_cell_length_a 3.0277
_cell_length_b 2.9670
_cell_length_c 8.4963
_cell_angle_alpha 90.00
_cell_angle_beta 100.17
_cell_angle_gamma 90.00
loop_
_space_group_symop_operation_xyz
'x,y,z'
'x,-y,z'
loop_
_atom_site_label
_atom_site_type_symbol
_atom_site_fract_x
_atom_site_fract_y
_atom_site_fract_z
In1 In 0.0000 0.0000 0.0000
Tc1 Tc 0.3785 0.5000 0.7544
Tc2 Tc 0.7931 0.0000 0.5828
Hg1 Hg 0.1660 0.5000 0.3245
# Volume: 75 Å³/cell
# Mass density: 11.30 Mg/m³

=====

Model three:
# InTc2Hg PBE relaxed
data_InTc2Hg
_chemical_formula_sum 'In2 Tc4 Hg2'
_space_group_name_H-M_alt 'I m m 2'
_space_group_IT_number 44
_cell_length_a 2.9446
_cell_length_b 4.8306
_cell_length_c 10.3652
_cell_angle_alpha 90.00
_cell_angle_beta 90.00
_cell_angle_gamma 90.00
loop_
_space_group_symop_operation_xyz
'x,y,z'
'-x,-y,z'
'-x,y,z'
'x,-y,z'
'x+1/2,y+1/2,z+1/2'
'-x+1/2,-y+1/2,z+1/2'
'-x+1/2,y+1/2,z+1/2'
'x+1/2,-y+1/2,z+1/2'
loop_
_atom_site_label
_atom_site_type_symbol
_atom_site_fract_x
_atom_site_fract_y
_atom_site_fract_z
In1 In 0.0000 0.0000 0.0000
Tc1 Tc 0.0000 0.0000 0.4484
Tc2 Tc 0.0000 0.5000 0.7541
Hg1 Hg 0.0000 0.5000 0.2126
# Volume: 147 Å³/cell
# Mass density: 11.52 Mg/m³

=====

Stability, descending: model two, model three, model one